w) # La2IrBr (GGA-PBE, relaxed)
data_La2IrBr
_chemical_formula_sum 'La2 Ir1 Br1'
_cell_length_a 5.219
_cell_length_b 5.219
_cell_length_c 5.219
_cell_angle_alpha 60.00
_cell_angle_beta 60.00
_cell_angle_gamma 60.00
_symmetry_space_group_name_H-M 'P 1'
_symmetry_Int_Tables_number 1
loop_
_symmetry_equiv_pos_as_xyz
'x,y,z'
loop_
_atom_site_label
_atom_site_fract_x
_atom_site_fract_y
_atom_site_fract_z
Ir1 0.500 0.500 0.500
La1 0.250 0.250 0.250
La2 0.750 0.750 0.750
Br1 0.000 0.000 0.000
# total moment	0.0	μB/f.u.
# volume	100	Å³/cell
# crystal system	cubic
# space group	Fm-3m (225)

***

x) # La2IrBr (GGA-PBE, relaxed)
data_La2IrBr
_chemical_formula_sum 'La2 Ir1 Br1'
_cell_length_a 6.234
_cell_length_b 6.234
_cell_length_c 4.560
_cell_angle_alpha 90.00
_cell_angle_beta 90.00
_cell_angle_gamma 37.25
_symmetry_space_group_name_H-M 'P 1'
_symmetry_Int_Tables_number 1
loop_
_symmetry_equiv_pos_as_xyz
'x,y,z'
loop_
_atom_site_label
_atom_site_fract_x
_atom_site_fract_y
_atom_site_fract_z
La1 0.015 0.015 0.125
La2 0.754 0.754 0.625
Ir1 0.244 0.244 0.125
Br1 0.487 0.487 0.625
# total moment	0.0	μB/f.u.
# volume	107	Å³/cell
# crystal system	orthorhombic
# space group	Amm2 (38)

***

y) # La2IrBr (GGA-PBE, relaxed)
data_La2IrBr
_chemical_formula_sum 'La2 Ir1 Br1'
_cell_length_a 4.213
_cell_length_b 4.213
_cell_length_c 8.260
_cell_angle_alpha 75.25
_cell_angle_beta 75.25
_cell_angle_gamma 59.98
_symmetry_space_group_name_H-M 'P 1'
_symmetry_Int_Tables_number 1
loop_
_symmetry_equiv_pos_as_xyz
'x,y,z'
loop_
_atom_site_label
_atom_site_fract_x
_atom_site_fract_y
_atom_site_fract_z
Br1 0.750 0.750 0.750
La1 0.519 0.519 0.445
Ir1 0.250 0.250 0.250
La2 0.981 0.981 0.055
# total moment	0.0	μB/f.u.
# volume	121	Å³/cell
# crystal system	trigonal
# space group	R-3m (166)

***

How far above the most stable structure does each one sit? In eV/atom: w) 0.463; x) 0.345; y) 0.000.

***

w) # La2IrBr (GGA-PBE, relaxed)
data_La2IrBr
_chemical_formula_sum 'La2 Ir1 Br1'
_cell_length_a 6.617
_cell_length_b 6.617
_cell_length_c 6.617
_cell_angle_alpha 143.26
_cell_angle_beta 143.26
_cell_angle_gamma 52.93
_symmetry_space_group_name_H-M 'P 1'
_symmetry_Int_Tables_number 1
loop_
_symmetry_equiv_pos_as_xyz
'x,y,z'
loop_
_atom_site_label
_atom_site_fract_x
_atom_site_fract_y
_atom_site_fract_z
Br1 0.500 0.500 0.000
Ir1 0.250 0.750 0.500
La1 0.000 0.000 0.000
La2 0.750 0.250 0.500
# total moment	0.0	μB/f.u.
# volume	103	Å³/cell
# crystal system	tetragonal
# space group	I-4m2 (119)

***

x) # La2IrBr (GGA-PBE, relaxed)
data_La2IrBr
_chemical_formula_sum 'La2 Ir1 Br1'
_cell_length_a 4.726
_cell_length_b 5.835
_cell_length_c 3.688
_cell_angle_alpha 90.00
_cell_angle_beta 90.00
_cell_angle_gamma 90.00
_symmetry_space_group_name_H-M 'P 1'
_symmetry_Int_Tables_number 1
loop_
_symmetry_equiv_pos_as_xyz
'x,y,z'
loop_
_atom_site_label
_atom_site_fract_x
_atom_site_fract_y
_atom_site_fract_z
Br1 0.500 0.000 0.500
La1 0.500 0.500 0.000
Ir1 0.000 0.500 0.500
La2 0.000 0.000 0.000
# total moment	0.0	μB/f.u.
# volume	102	Å³/cell
# crystal system	orthorhombic
# space group	Pmmm (47)

***

How far above the most stable structure does each one sit? In eV/atom: w) 0.087; x) 0.000.

***

w) # La2IrBr (GGA-PBE, relaxed)
data_La2IrBr
_chemical_formula_sum 'La2 Ir1 Br1'
_cell_length_a 8.450
_cell_length_b 8.450
_cell_length_c 8.450
_cell_angle_alpha 153.97
_cell_angle_beta 153.54
_cell_angle_gamma 37.45
_symmetry_space_group_name_H-M 'P 1'
_symmetry_Int_Tables_number 1
loop_
_symmetry_equiv_pos_as_xyz
'x,y,z'
loop_
_atom_site_label
_atom_site_fract_x
_atom_site_fract_y
_atom_site_fract_z
Br1 0.450 0.450 0.000
La1 0.779 0.279 0.500
La2 0.070 0.070 0.000
Ir1 0.201 0.701 0.500
# total moment	0.0	μB/f.u.
# volume	118	Å³/cell
# crystal system	orthorhombic
# space group	Imm2 (44)

***

x) # La2IrBr (GGA-PBE, relaxed)
data_La2IrBr
_chemical_formula_sum 'La2 Ir1 Br1'
_cell_length_a 10.268
_cell_length_b 10.268
_cell_length_c 10.268
_cell_angle_alpha 21.83
_cell_angle_beta 21.83
_cell_angle_gamma 21.83
_symmetry_space_group_name_H-M 'P 1'
_symmetry_Int_Tables_number 1
loop_
_symmetry_equiv_pos_as_xyz
'x,y,z'
loop_
_atom_site_label
_atom_site_fract_x
_atom_site_fract_y
_atom_site_fract_z
Ir1 0.738 0.738 0.738
Br1 0.503 0.503 0.503
La1 0.020 0.020 0.020
La2 0.239 0.239 0.239
# total moment	0.1	μB/f.u.
# volume	131	Å³/cell
# crystal system	trigonal
# space group	R3m (160)

***

How far above the most stable structure does each one sit? In eV/atom: w) 0.000; x) 0.666.

***

w) # La2IrBr (GGA-PBE, relaxed)
data_La2IrBr
_chemical_formula_sum 'La2 Ir1 Br1'
_cell_length_a 6.062
_cell_length_b 4.272
_cell_length_c 4.264
_cell_angle_alpha 90.00
_cell_angle_beta 90.00
_cell_angle_gamma 90.00
_symmetry_space_group_name_H-M 'P 1'
_symmetry_Int_Tables_number 1
loop_
_symmetry_equiv_pos_as_xyz
'x,y,z'
loop_
_atom_site_label
_atom_site_fract_x
_atom_site_fract_y
_atom_site_fract_z
Ir1 0.500 0.875 0.875
La1 0.000 0.875 0.875
Br1 0.000 0.375 0.374
La2 0.500 0.375 0.376
# total moment	0.0	μB/f.u.
# volume	110	Å³/cell
# crystal system	tetragonal
# space group	P4/mmm (123)

***

x) # La2IrBr (GGA-PBE, relaxed)
data_La2IrBr
_chemical_formula_sum 'La2 Ir1 Br1'
_cell_length_a 3.537
_cell_length_b 3.600
_cell_length_c 8.983
_cell_angle_alpha 67.66
_cell_angle_beta 90.00
_cell_angle_gamma 90.00
_symmetry_space_group_name_H-M 'P 1'
_symmetry_Int_Tables_number 1
loop_
_symmetry_equiv_pos_as_xyz
'x,y,z'
loop_
_atom_site_label
_atom_site_fract_x
_atom_site_fract_y
_atom_site_fract_z
La1 0.000 0.009 0.960
La2 0.000 0.491 0.540
Ir1 0.500 0.750 0.750
Br1 0.500 0.250 0.250
# total moment	0.0	μB/f.u.
# volume	106	Å³/cell
# crystal system	monoclinic
# space group	P2/m (10)

***

How far above the most stable structure does each one sit? In eV/atom: w) 0.020; x) 0.000.